(A)
# PbAuN

PbAuN after structural relaxation (PBE-GGA, the Alexandria database).

a = 4.166 Å, b = 8.257 Å, c = 11.901 Å
α = 92.71°, β = 90.00°, γ = 90.00°
Fractional positions:
Pb1 0.250 0.611 0.378
Pb2 0.750 0.889 0.622
Pb3 0.750 0.389 0.622
Pb4 0.250 0.111 0.378
N1 0.083 0.548 0.986
N2 0.583 0.952 0.014
N3 0.417 0.048 0.986
N4 0.917 0.452 0.014
Au1 0.750 0.361 0.371
Au2 0.750 0.861 0.371
Au3 0.250 0.639 0.629
Au4 0.250 0.139 0.629

---

(B)
# PbAuN

PbAuN after structural relaxation (PBE-GGA, the Alexandria database).

a = 3.704 Å, b = 6.009 Å, c = 7.462 Å
α = 74.80°, β = 119.87°, γ = 107.85°
Fractional positions:
Au1 0.282 0.851 0.356
Au2 0.718 0.149 0.644
Pb1 0.376 0.349 0.201
Pb2 0.624 0.651 0.799
N1 0.044 0.413 0.837
N2 0.956 0.587 0.163

---

Need the numbers? Relative energies in eV/atom: (A) 0.000; (B) 0.457.

---

(A)
# PbAuSN2

PbAuSN2 after structural relaxation (PBE-GGA, the Alexandria database).

a = 4.389 Å, b = 4.389 Å, c = 5.541 Å
α = 90.00°, β = 90.00°, γ = 90.00°
Site moments in Bohr magnetons follow the coordinates.
Fractional positions:
Au1 0.500 0.500 0.500  0.09
N1 0.500 0.000 0.000  1.02
N2 0.000 0.500 0.000  1.02
Pb1 0.000 0.000 0.000  -0.04
S1 0.000 0.000 0.500  0.16

---

(B)
# PbAuSN2

PbAuSN2 after structural relaxation (PBE-GGA, the Alexandria database).

a = 4.310 Å, b = 4.310 Å, c = 5.320 Å
α = 90.00°, β = 90.00°, γ = 90.00°
Site moments in Bohr magnetons follow the coordinates.
Fractional positions:
Pb1 0.500 0.500 0.500  -0.04
N1 0.000 0.500 0.000  0.94
N2 0.500 0.000 0.000  0.94
Au1 0.000 0.000 0.000  0.16
S1 0.000 0.000 0.500  0.10

---

Need the numbers? Relative energies in eV/atom: (A) 0.440; (B) 0.000.

---

(A)
# PbAuSeN2

PbAuSeN2 after structural relaxation (PBE-GGA, the Alexandria database).

a = 4.314 Å, b = 4.314 Å, c = 5.926 Å
α = 90.00°, β = 90.00°, γ = 90.00°
Site moments in Bohr magnetons follow the coordinates.
Fractional positions:
Pb1 0.000 0.000 0.000  -0.05
Se1 0.000 0.000 0.500  0.16
Au1 0.500 0.500 0.500  0.07
N1 0.000 0.500 0.000  0.98
N2 0.500 0.000 0.000  0.98

---

(B)
# PbAuSeN2

PbAuSeN2 after structural relaxation (PBE-GGA, the Alexandria database).

a = 4.256 Å, b = 4.256 Å, c = 5.455 Å
α = 90.00°, β = 90.00°, γ = 90.00°
Site moments in Bohr magnetons follow the coordinates.
Fractional positions:
N1 0.000 0.500 0.000  0.91
N2 0.500 0.000 0.000  0.91
Au1 0.000 0.000 0.000  0.14
Se1 0.000 0.000 0.500  0.11
Pb1 0.500 0.500 0.500  -0.04

---

Need the numbers? Relative energies in eV/atom: (A) 0.346; (B) 0.000.

---

(A)
# PbAuSe2N

PbAuSe2N after structural relaxation (PBE-GGA, the Alexandria database).

a = 5.560 Å, b = 5.560 Å, c = 4.331 Å
α = 90.00°, β = 90.00°, γ = 90.00°
Site moments in Bohr magnetons follow the coordinates.
Fractional positions:
Pb1 0.000 0.000 0.000  -0.04
Se1 0.500 0.000 0.000  0.27
Se2 0.000 0.500 0.000  0.27
Au1 0.500 0.500 0.500  0.08
N1 0.000 0.000 0.500  0.99

---

(B)
# PbAuSe2N

PbAuSe2N after structural relaxation (PBE-GGA, the Alexandria database).

a = 5.561 Å, b = 5.561 Å, c = 3.859 Å
α = 90.00°, β = 90.00°, γ = 90.00°
Fractional positions:
Pb1 0.500 0.500 0.500
Se1 0.500 0.000 0.000
Se2 0.000 0.500 0.000
Au1 0.000 0.000 0.000
N1 0.000 0.000 0.500

---

Need the numbers? Relative energies in eV/atom: (A) 0.618; (B) 0.000.

---

(A)
# Pd3AuN

Pd3AuN after structural relaxation (PBE-GGA, the Alexandria database).

a = 4.967 Å, b = 4.967 Å, c = 4.967 Å
α = 90.00°, β = 90.00°, γ = 90.00°
Fractional positions:
Pd1 0.000 0.500 0.000
Pd2 0.500 0.000 0.000
Pd3 0.000 0.000 0.500
N1 0.500 0.500 0.500
Au1 0.000 0.000 0.000

---

(B)
# Pd3AuN

Pd3AuN after structural relaxation (PBE-GGA, the Alexandria database).

a = 4.174 Å, b = 4.174 Å, c = 4.174 Å
α = 90.00°, β = 90.00°, γ = 90.00°
Fractional positions:
N1 0.000 0.000 0.000
Pd1 0.500 0.000 0.000
Pd2 0.000 0.500 0.000
Pd3 0.000 0.000 0.500
Au1 0.500 0.500 0.500

---

Need the numbers? Relative energies in eV/atom: (A) 2.092; (B) 0.000.

---

(A)
# PdAuN2

PdAuN2 after structural relaxation (PBE-GGA, the Alexandria database).

a = 4.341 Å, b = 4.341 Å, c = 6.584 Å
α = 70.75°, β = 70.75°, γ = 90.00°
Fractional positions:
N1 0.146 0.625 0.250
N2 0.604 0.125 0.250
N3 0.375 0.396 0.750
N4 0.875 0.854 0.750
Pd1 0.250 0.750 0.500
Pd2 0.500 0.500 0.000
Au1 0.750 0.250 0.500
Au2 0.000 0.000 0.000

---

(B)
# PdAuN2

PdAuN2 after structural relaxation (PBE-GGA, the Alexandria database).

a = 4.026 Å, b = 4.026 Å, c = 4.026 Å
α = 60.00°, β = 60.00°, γ = 60.00°
Fractional positions:
N1 0.250 0.250 0.250
N2 0.750 0.750 0.750
Pd1 0.000 0.000 0.000
Au1 0.500 0.500 0.500

---

(C)
# PdAuN2

PdAuN2 after structural relaxation (PBE-GGA, the Alexandria database).

a = 6.420 Å, b = 6.420 Å, c = 6.420 Å
α = 28.05°, β = 28.05°, γ = 28.05°
Fractional positions:
N1 0.891 0.891 0.891
N2 0.109 0.109 0.109
Pd1 0.500 0.500 0.500
Au1 0.000 0.000 0.000

---

Need the numbers? Relative energies in eV/atom: (A) 0.425; (B) 0.835; (C) 0.000.

---

(A)
# PdAuSN2

PdAuSN2 after structural relaxation (PBE-GGA, the Alexandria database).

a = 3.898 Å, b = 3.898 Å, c = 5.893 Å
α = 90.00°, β = 90.00°, γ = 90.00°
Site moments in Bohr magnetons follow the coordinates.
Fractional positions:
Pd1 0.500 0.500 0.500  0.19
N1 0.500 0.000 0.000  1.04
N2 0.000 0.500 0.000  1.04
S1 0.000 0.000 0.500  0.18
Au1 0.000 0.000 0.000  0.33

---

(B)
# PdAuSN2

PdAuSN2 after structural relaxation (PBE-GGA, the Alexandria database).

a = 3.723 Å, b = 3.723 Å, c = 7.362 Å
α = 90.00°, β = 90.00°, γ = 90.00°
Site moments in Bohr magnetons follow the coordinates.
Fractional positions:
Pd1 0.000 0.000 0.000  0.08
N1 0.000 0.500 0.000  0.25
N2 0.500 0.000 0.000  0.25
Au1 0.500 0.500 0.500  0.05
S1 0.000 0.000 0.500  0.14

---

Need the numbers? Relative energies in eV/atom: (A) 0.298; (B) 0.000.

---

(A)
# PdAuS2N

PdAuS2N after structural relaxation (PBE-GGA, the Alexandria database).

a = 4.929 Å, b = 4.929 Å, c = 3.675 Å
α = 90.00°, β = 90.00°, γ = 90.00°
Site moments in Bohr magnetons follow the coordinates.
Fractional positions:
Au1 0.500 0.500 0.500  0.03
S1 0.000 0.500 0.000  0.06
S2 0.500 0.000 0.000  0.06
N1 0.000 0.000 0.500  0.30
Pd1 0.000 0.000 0.000  0.05

---

(B)
# PdAuS2N

PdAuS2N after structural relaxation (PBE-GGA, the Alexandria database).

a = 5.027 Å, b = 5.027 Å, c = 3.719 Å
α = 90.00°, β = 90.00°, γ = 90.00°
Fractional positions:
Au1 0.000 0.000 0.000
Pd1 0.500 0.500 0.500
S1 0.000 0.500 0.000
S2 0.500 0.000 0.000
N1 0.000 0.000 0.500

---

Need the numbers? Relative energies in eV/atom: (A) 0.000; (B) 0.305.

---

(A)
# PdAuSe2N

PdAuSe2N after structural relaxation (PBE-GGA, the Alexandria database).

a = 5.293 Å, b = 5.293 Å, c = 3.701 Å
α = 90.00°, β = 90.00°, γ = 90.00°
Fractional positions:
N1 0.000 0.000 0.500
Pd1 0.500 0.500 0.500
Se1 0.500 0.000 0.000
Se2 0.000 0.500 0.000
Au1 0.000 0.000 0.000

---

(B)
# PdAuSe2N

PdAuSe2N after structural relaxation (PBE-GGA, the Alexandria database).

a = 5.183 Å, b = 5.183 Å, c = 3.668 Å
α = 90.00°, β = 90.00°, γ = 90.00°
Site moments in Bohr magnetons follow the coordinates.
Fractional positions:
Pd1 0.000 0.000 0.000  0.07
Se1 0.500 0.000 0.000  0.06
Se2 0.000 0.500 0.000  0.06
N1 0.000 0.000 0.500  0.29
Au1 0.500 0.500 0.500  0.02

---

Need the numbers? Relative energies in eV/atom: (A) 0.296; (B) 0.000.

---

(A)
# PdAuSeN2

PdAuSeN2 after structural relaxation (PBE-GGA, the Alexandria database).

a = 3.800 Å, b = 3.800 Å, c = 6.206 Å
α = 90.00°, β = 90.00°, γ = 90.00°
Fractional positions:
N1 0.000 0.500 0.000
N2 0.500 0.000 0.000
Au1 0.500 0.500 0.500
Pd1 0.000 0.000 0.000
Se1 0.000 0.000 0.500

---

(B)
# PdAuSeN2

PdAuSeN2 after structural relaxation (PBE-GGA, the Alexandria database).

a = 3.914 Å, b = 3.914 Å, c = 6.238 Å
α = 90.00°, β = 90.00°, γ = 90.00°
Site moments in Bohr magnetons follow the coordinates.
Fractional positions:
Au1 0.000 0.000 0.000  0.33
Pd1 0.500 0.500 0.500  0.18
N1 0.500 0.000 0.000  1.05
N2 0.000 0.500 0.000  1.05
Se1 0.000 0.000 0.500  0.19

---

Need the numbers? Relative energies in eV/atom: (A) 0.000; (B) 0.252.

---

(A)
# Te2PdAuN

Te2PdAuN after structural relaxation (PBE-GGA, the Alexandria database).

a = 5.537 Å, b = 5.537 Å, c = 3.664 Å
α = 90.00°, β = 90.00°, γ = 90.00°
Fractional positions:
Te1 0.500 0.000 0.000
Te2 0.000 0.500 0.000
Pd1 0.000 0.000 0.000
Au1 0.500 0.500 0.500
N1 0.000 0.000 0.500

---

(B)
# Te2PdAuN

Te2PdAuN after structural relaxation (PBE-GGA, the Alexandria database).

a = 5.645 Å, b = 5.645 Å, c = 3.708 Å
α = 90.00°, β = 90.00°, γ = 90.00°
Site moments in Bohr magnetons follow the coordinates.
Fractional positions:
Au1 0.000 0.000 0.000  0.04
N1 0.000 0.000 0.500  0.16
Te1 0.000 0.500 0.000  0.02
Te2 0.500 0.000 0.000  0.02
Pd1 0.500 0.500 0.500  0.01

---

Need the numbers? Relative energies in eV/atom: (A) 0.000; (B) 0.298.

---

(A)
# TePdAuN2

TePdAuN2 after structural relaxation (PBE-GGA, the Alexandria database).

a = 3.965 Å, b = 3.965 Å, c = 6.592 Å
α = 90.00°, β = 90.00°, γ = 90.00°
Site moments in Bohr magnetons follow the coordinates.
Fractional positions:
Au1 0.000 0.000 0.000  0.31
N1 0.000 0.500 0.000  1.04
N2 0.500 0.000 0.000  1.04
Pd1 0.500 0.500 0.500  0.08
Te1 0.000 0.000 0.500  0.13

---

(B)
# TePdAuN2

TePdAuN2 after structural relaxation (PBE-GGA, the Alexandria database).

a = 3.898 Å, b = 3.898 Å, c = 6.167 Å
α = 90.00°, β = 90.00°, γ = 90.00°
Fractional positions:
Pd1 0.000 0.000 0.000
N1 0.500 0.000 0.000
N2 0.000 0.500 0.000
Te1 0.000 0.000 0.500
Au1 0.500 0.500 0.500

---

Need the numbers? Relative energies in eV/atom: (A) 0.195; (B) 0.000.